# CoSe2IF, optimized geometry, DFT PBE with a Hubbard U
# Size of the total moment   0.489 μB per atom
# E   -13.3 eV for the cell shown
# Mass density   4.372 g/cm³
# Crystal system   tetragonal
# D(E_F)   0.962 states/eV per atom
data_CoSe2IF
_chemical_formula_sum 'Co1 Se2 I1 F1'
_cell_length_a 4.2904
_cell_length_b 7.4849
_cell_length_c 4.2904
_cell_angle_alpha 90.00
_cell_angle_beta 90.00
_cell_angle_gamma 90.00
_space_group_name_H-M_alt 'P 1'
_space_group_IT_number 1
loop_
_space_group_symop_operation_xyz
'x,y,z'
loop_
_atom_site_label
_atom_site_fract_x
_atom_site_fract_y
_atom_site_fract_z
I1 0.0000 0.5000 0.0000
F1 0.0000 0.0000 0.0000
Se1 0.0000 0.0000 0.5000
Se2 0.5000 0.0000 0.0000
Co1 0.5000 0.5000 0.5000